(1)
Hf3Cr2Ga6 | PBE-GGA | relaxed

## Properties
For the density, the calculation gives 9.804 g cm⁻³. The crystal system is orthorhombic. Its formation energy is -0.3583 eV/atom. For the total moment, the calculation gives 0.004 μB/f.u.

abc: 5.322 8.720 7.722
angles: 90.00 90.00 90.00
Space group Pmmn (No. 59, origin choice 2)
One atom of each set of equivalent atoms:
Hf (0.250, 0.029, 0.157)
Hf (0.250, 0.750, 0.712)
Cr (0.000, 0.000, 0.500)
Ga (0.010, 0.750, 0.036)
Ga (0.250, 0.063, 0.768)
Ga (0.250, 0.250, 0.440)
Ga (0.250, 0.750, 0.364)

(2)
SN | PBE-GGA | relaxed

## Properties
The uncorrected formation energy is 0.775 eV/atom. For the density, the calculation gives 1.983 g cm⁻³. The crystal system is orthorhombic. For the total moment, the calculation gives 0.029 μB/f.u.

abc: 13.885 2.609 6.391
angles: 90.00 90.00 90.00
Space group Pmn2_1 (No. 31)
One atom of each set of equivalent atoms:
S (0.000, 0.236, 0.000)
S (0.190, 0.750, 0.443)
N (0.000, 0.736, 0.847)
N (0.238, 0.750, 0.938)

(3)
PrEr6Tl3 | PBE-GGA | relaxed

## Properties
For the density, the calculation gives 9.480 g cm⁻³. The crystal system is orthorhombic. Its formation energy is -0.1237 eV/atom. For the total moment, the calculation gives 0.001 μB/f.u.

abc: 11.359 12.775 8.487
angles: 90.00 90.00 90.00
Space group Cmc2_1 (No. 36)
One atom of each set of equivalent atoms:
Pr (0.000, 0.184, 0.000)
Er (0.000, 0.270, 0.424)
Er (0.000, 0.465, 0.808)
Er (0.169, 0.065, 0.337)
Er (0.244, 0.318, 0.191)
Tl (0.000, 0.078, 0.641)
Tl (0.191, 0.415, 0.539)

(4)
PrNd6Mg | PBE-GGA | relaxed

## Properties
For the density, the calculation gives 6.317 g cm⁻³. The crystal system is tetragonal. The value obtained for the polymorph energy (0 for the lowest one) is 0 kJ/mol of formula units. Its formation energy is 0.0088 eV/atom. For the total moment, the calculation gives 0.000 μB/f.u.

abc: 5.102 5.102 20.815
angles: 90.00 90.00 90.00
Space group I4/mmm (No. 139)
One atom of each set of equivalent atoms:
Pr (0.000, 0.000, 0.000)
Nd (0.000, 0.000, 0.248)
Nd (0.000, 0.500, 0.123)
Mg (0.000, 0.000, 0.500)

(5)
NbHIr | PBE-GGA | relaxed

## Properties
For the density, the calculation gives 13.451 g cm⁻³. The crystal system is monoclinic. The value obtained for the polymorph energy (0 for the lowest one) is 31 kJ/mol of formula units. For the total moment, the calculation gives 0.000 μB/f.u.

abc: 5.037 5.790 5.796
angles: 90.00 123.29 90.00
Space group P2_1/c (No. 14)
One atom of each set of equivalent atoms:
Nb (0.014, 0.221, 0.279)
H (0.161, 0.564, 0.023)
Ir (0.458, 0.506, 0.722)

(6)
CaHg6Pd12 | PBE-GGA | relaxed

## Properties
For the density, the calculation gives 12.013 g cm⁻³. The crystal system is trigonal. Its formation energy is -0.0933 eV/atom. For the total moment, the calculation gives 0.000 μB/f.u.

abc: 11.2425 11.2425 9.5491
angles: 90.00 90.00 120.00
Space group R-3 (No. 148, hexagonal axes)
One atom of each set of equivalent atoms:
Ca (0.0000, 0.0000, 0.0000)
Hg (0.0880, 0.9100, 0.7369)
Pd (0.0006, 0.7414, 0.9998)
Pd (0.0605, 0.5309, 0.1223)

(7)
Cs2Pm2ZrS6 | PBE-GGA | relaxed

## Properties
The uncorrected formation energy is -1.766 eV/atom. For the density, the calculation gives 3.992 g cm⁻³. The crystal system is monoclinic. For the total moment, the calculation gives 0.000 μB/f.u.

abc: 7.020 12.053 8.594
angles: 90.00 106.17 90.00
Space group C2/m (No. 12)
One atom of each set of equivalent atoms:
Cs (0.000, 0.170, 0.000)
Pm (0.000, 0.333, 0.500)
Zr (0.000, 0.000, 0.500)
S (0.217, 0.156, 0.678)
S (0.248, 0.000, 0.322)

(8)
PmEr2Ni | PBE-GGA | relaxed

## Properties
For the density, the calculation gives 8.548 g cm⁻³. The crystal system is orthorhombic. The value obtained for the polymorph energy (0 for the lowest one) is 0 kJ/mol of formula units. Its formation energy is -0.2392 eV/atom. For the total moment, the calculation gives 0.000 μB/f.u.

abc: 6.872 9.565 6.363
angles: 90.00 90.00 90.00
Space group Pnma (No. 62)
One atom of each set of equivalent atoms:
Pm (0.030, 0.250, 0.139)
Er (0.175, 0.067, 0.677)
Ni (0.112, 0.750, 0.433)

| no. | N(E_F) (states/eV per atom) |
| --- | --- |
| 1 | 0.3906 |
| 2 | 0.5723 |
| 3 | 1.4026 |
| 4 | 1.4769 |
| 5 | 0.3281 |
| 6 | 0.6061 |
| 7 | 0.0000 |
| 8 | 1.1065 |